Material: Ca4NiPd
Method: DFT, GGA-PBE
State: relaxed

Structure (POSCAR):
```
Ca4NiPd
1.0
6.275 -0.524 -1.758
-2.935 7.131 -2.776
-0.501 -0.451 8.168
Ca Pd Ni
8 2 2
direct
0.402 0.695 0.051
0.265 0.760 0.643
0.598 0.305 0.949
0.098 0.949 0.305
0.735 0.240 0.357
0.765 0.643 0.760
0.902 0.051 0.695
0.235 0.357 0.240
0.750 0.636 0.364
0.250 0.364 0.636
0.250 0.997 0.003
0.750 0.003 0.997
```

Values from the calculation:
**Fermi-level density of states**: 3.249 states/eV/f.u.
**Calculated formation energy**: -0.3059 eV per atom
**Energy**: -41.632 eV/cell

Material: Cs3Rb8P
Method: DFT, GGA-PBE
State: relaxed

Structure (POSCAR):
```
Cs3Rb8P
1.0
-7.208 5.870 -3.960
-10.739 -9.427 5.574
4.974 11.802 8.440
Rb P Cs
16 2 6
direct
0.489 0.539 0.461
0.276 0.234 0.766
0.485 0.000 0.000
0.226 0.667 0.333
0.776 0.766 0.532
0.989 0.461 0.923
0.726 0.333 0.667
0.776 0.468 0.234
0.489 0.539 0.077
0.276 0.234 0.468
0.985 0.000 0.000
0.276 0.532 0.766
0.776 0.766 0.234
0.989 0.077 0.539
0.489 0.923 0.461
0.989 0.461 0.539
0.061 0.333 0.667
0.561 0.667 0.333
0.735 0.695 0.847
0.735 0.153 0.847
0.235 0.847 0.695
0.235 0.305 0.153
0.735 0.153 0.305
0.235 0.847 0.153
```

Values from the calculation:
**Fermi-level density of states**: 9.119 states/eV/f.u.
**Calculated formation energy**: -0.0222 eV per atom
**Energy**: -31.955 eV/cell

Material: MgCo3
Method: DFT, GGA-PBE
State: relaxed

Structure (POSCAR):
```
MgCo3
1.0
-4.091 0.754 0.490
-0.777 -0.914 -5.087
-0.312 -3.923 3.439
Co Mg
6 2
direct
0.750 0.841 0.683
0.750 0.842 0.158
0.750 0.317 0.159
0.250 0.159 0.317
0.250 0.683 0.841
0.250 0.158 0.842
0.750 0.333 0.667
0.250 0.667 0.333
```

Values from the calculation:
**Fermi-level density of states**: 6.004 states/eV/f.u.
**Calculated formation energy**: 0.1647 eV per atom
**Energy**: -44.507 eV/cell

Material: AlCrCl2
Method: DFT, GGA-PBE
State: relaxed

Structure (POSCAR):
```
AlCrCl2
1.0
5.436 0.073 -0.020
-0.938 5.354 -0.020
1.188 1.434 2.934
Al Cr Cl
1 1 2
direct
0.000 0.500 0.500
0.500 0.000 0.500
0.000 0.000 0.000
0.500 0.500 0.000
```

Values from the calculation:
**Polymorph energy (0 for the lowest one)**: 464 meV per atom
**Fermi-level density of states**: 1.041 states/eV/f.u.
**Energy**: -17.421 eV/cell
**Raw formation energy**: -90 meV/atom